No. 1
Density functional theory data (PBE) for a geometry-optimized Hf2ReCBr structure.

The calculation puts the density of states at the Fermi level at 5.461 states/eV per cell.

It has space group P4/mmm (No. 123), with a = 5.0690 Å, b = 5.0690 Å, c = 4.7241 Å, α = 90.00°, β = 90.00° and γ = 90.00°. The distinct sites, in fractional coordinates, are Hf at (0.0000, 0.5000, 0.0000), Re at (0.0000, 0.0000, 0.0000), C at (0.5000, 0.5000, 0.5000) and Br at (0.0000, 0.0000, 0.5000).

=====

No. 2
Density functional theory data (PBE) for a geometry-optimized HfCSeBr2 structure.

The energy above the lowest structure with this stoichiometry is 0 kJ/mol of formula units. The calculation puts the density of states at the Fermi level at 6.239 states/eV per cell.

It has space group P4/mmm (No. 123), with a = 5.2970 Å, b = 5.2970 Å, c = 5.1282 Å, α = 90.00°, β = 90.00° and γ = 90.00°. The distinct sites, in fractional coordinates, are Hf at (0.0000, 0.0000, 0.0000), C at (0.5000, 0.5000, 0.5000), Se at (0.0000, 0.0000, 0.5000) and Br at (0.0000, 0.5000, 0.0000).

=====

No. 3
Density functional theory data (PBE) for a geometry-optimized HfCSeBr2 structure.

The energy above the lowest structure with this stoichiometry is 141 kJ/mol of formula units. The calculation puts the density of states at the Fermi level at 3.169 states/eV per cell.

It has space group P4/mmm (No. 123), with a = 4.4740 Å, b = 4.4740 Å, c = 4.6780 Å, α = 90.00°, β = 90.00° and γ = 90.00°. The distinct sites, in fractional coordinates, are Hf at (0.0000, 0.0000, 0.0000), C at (0.5000, 0.5000, 0.5000), Se at (0.5000, 0.5000, 0.0000) and Br at (0.0000, 0.5000, 0.5000).

=====

No. 4
Density functional theory data (PBE) for a geometry-optimized HfCSe2Br structure.

The energy above the lowest structure with this stoichiometry is 0 kJ/mol of formula units. The calculation puts the density of states at the Fermi level at 4.395 states/eV per cell.

It has space group P4/mmm (No. 123), with a = 4.4819 Å, b = 4.4819 Å, c = 4.4313 Å, α = 90.00°, β = 90.00° and γ = 90.00°. The distinct sites, in fractional coordinates, are Hf at (0.0000, 0.0000, 0.0000), C at (0.5000, 0.5000, 0.5000), Se at (0.0000, 0.5000, 0.5000) and Br at (0.5000, 0.5000, 0.0000).

=====

No. 5
Density functional theory data (PBE) for a geometry-optimized HfCSe2Br structure.

The energy above the lowest structure with this stoichiometry is 13 kJ/mol of formula units. The calculation puts the density of states at the Fermi level at 4.537 states/eV per cell.

It has space group P4/mmm (No. 123), with a = 5.1688 Å, b = 5.1688 Å, c = 5.2609 Å, α = 90.00°, β = 90.00° and γ = 90.00°. The distinct sites, in fractional coordinates, are Hf at (0.0000, 0.0000, 0.0000), C at (0.5000, 0.5000, 0.5000), Se at (0.0000, 0.5000, 0.0000) and Br at (0.0000, 0.0000, 0.5000).

=====

No. 6
Density functional theory data (PBE) for a geometry-optimized HfSn2CBr structure.

The calculation puts the density of states at the Fermi level at 5.106 states/eV per cell.

It has space group P4/mmm (No. 123), with a = 5.7431 Å, b = 5.7431 Å, c = 4.2210 Å, α = 90.00°, β = 90.00° and γ = 90.00°. The distinct sites, in fractional coordinates, are Hf at (0.0000, 0.0000, 0.0000), Sn at (0.0000, 0.5000, 0.0000), C at (0.0000, 0.0000, 0.5000) and Br at (0.5000, 0.5000, 0.5000).

=====

No. 7
Density functional theory data (PBE) for a geometry-optimized HfTaC2Br structure.

The energy above the lowest structure with this stoichiometry is 0 kJ/mol of formula units. The calculation puts the density of states at the Fermi level at 4.033 states/eV per cell.

It has space group P4/mmm (No. 123), with a = 4.2094 Å, b = 4.2094 Å, c = 5.5793 Å, α = 90.00°, β = 90.00° and γ = 90.00°. The distinct sites, in fractional coordinates, are Hf at (0.0000, 0.0000, 0.0000), Ta at (0.0000, 0.0000, 0.5000), C at (0.0000, 0.5000, 0.0000) and Br at (0.5000, 0.5000, 0.5000).

=====

No. 8
Density functional theory data (PBE) for a geometry-optimized HfTaC2Br structure.

The energy above the lowest structure with this stoichiometry is 405 kJ/mol of formula units. The calculation puts the density of states at the Fermi level at 3.952 states/eV per cell.

It has space group P4/mmm (No. 123), with a = 4.1666 Å, b = 4.1666 Å, c = 4.9257 Å, α = 90.00°, β = 90.00° and γ = 90.00°. The distinct sites, in fractional coordinates, are Hf at (0.0000, 0.0000, 0.0000), Ta at (0.5000, 0.5000, 0.0000), C at (0.0000, 0.5000, 0.5000) and Br at (0.0000, 0.0000, 0.5000).

=====

No. 9
Density functional theory data (PBE) for a geometry-optimized HgCBr2 structure.

The energy above the lowest structure with this stoichiometry is 0 kJ/mol of formula units. The calculation puts the density of states at the Fermi level at 1.813 states/eV per cell.

It has space group I-42d (No. 122), with a = 7.0375 Å, b = 7.0375 Å, c = 9.9520 Å, α = 90.00°, β = 90.00° and γ = 90.00°. The distinct sites, in fractional coordinates, are Hg at (0.0000, 0.0000, 0.0000), C at (0.0000, 0.0000, 0.5000) and Br at (0.0007, 0.7500, 0.6250).

=====

No. 10
Density functional theory data (PBE) for a geometry-optimized HgCBr2 structure.

The energy above the lowest structure with this stoichiometry is 78 kJ/mol of formula units. The calculation puts the density of states at the Fermi level at 0.000 states/eV per cell.

It has space group R-3m (No. 166, hexagonal axes), with a = 3.5121 Å, b = 3.5121 Å, c = 32.0454 Å, α = 90.00°, β = 90.00° and γ = 120.00°. The distinct sites, in fractional coordinates, are Hg at (0.0000, 0.0000, 0.0000), C at (0.0000, 0.0000, 0.5000) and Br at (0.0000, 0.0000, 0.1229).

=====

No. 11
Density functional theory data (PBE) for a geometry-optimized HgCBr2 structure.

The energy above the lowest structure with this stoichiometry is 298 kJ/mol of formula units. The calculation puts the density of states at the Fermi level at 18.926 states/eV per cell.

It has space group Fm-3m (No. 225), with a = 7.1216 Å, b = 7.1216 Å, c = 7.1216 Å, α = 90.00°, β = 90.00° and γ = 90.00°. The distinct sites, in fractional coordinates, are Hg at (0.0000, 0.0000, 0.0000), C at (0.0000, 0.0000, 0.5000) and Br at (0.2500, 0.2500, 0.2500).

=====

No. 12
Density functional theory data (PBE) for a geometry-optimized Hg2CBr structure.

The energy above the lowest structure with this stoichiometry is 337 kJ/mol of formula units. The calculation puts the density of states at the Fermi level at 10.804 states/eV per cell.

It has space group Fm-3m (No. 225), with a = 7.1833 Å, b = 7.1833 Å, c = 7.1833 Å, α = 90.00°, β = 90.00° and γ = 90.00°. The distinct sites, in fractional coordinates, are Hg at (0.2500, 0.2500, 0.2500), C at (0.0000, 0.0000, 0.0000) and Br at (0.0000, 0.0000, 0.5000).

=====

no.,formation energy (no corrections) (eV per atom),spin magnetization (μB/f.u.)
1,2.028,0.561
2,0.692,1.986
3,0.985,0.590
4,0.810,0.000
5,0.836,1.455
6,0.691,0.001
7,1.964,0.000
8,2.803,0.000
9,0.908,0.000
10,1.111,0.000
11,1.680,1.612
12,1.636,1.570